Li2NiPdF6 | PBE with a Hubbard U | optimized geometry

Computed properties:
The calculated total energy is -4.4193 eV per atom. As for the crystal system: triclinic.

Cell: 4.947 5.304 5.544 Å, 111.30 115.80 90.26°
Positions (direct):
Li 0.000 0.000 0.000
Li 0.469 0.513 0.015
Ni 0.262 0.893 0.546
Pd 0.764 0.387 0.553
F 0.227 0.735 0.150
F 0.291 0.138 0.926
F 0.539 0.649 0.736
F 0.677 0.142 0.723
F 0.853 0.640 0.391
F 0.993 0.140 0.373